No. 1
Here is a geometry-optimized AlCr2Cl structure from Alexandria via LeMat-Bulk. Energies are from PBEsol.

CIF file:
```
data_AlCr2Cl
_chemical_formula_sum 'Al1 Cr2 Cl1'
_cell_length_a 2.9490
_cell_length_b 2.9490
_cell_length_c 7.1526
_cell_angle_alpha 90.00
_cell_angle_beta 90.00
_cell_angle_gamma 90.00
_symmetry_space_group_name_H-M 'P 4 m m'
_symmetry_Int_Tables_number 99
loop_
_symmetry_equiv_pos_as_xyz
'x,y,z'
'-y,x,z'
'-x,-y,z'
'y,-x,z'
'-x,y,z'
'y,x,z'
'x,-y,z'
'-y,-x,z'
loop_
_atom_site_label
_atom_site_fract_x
_atom_site_fract_y
_atom_site_fract_z
Al1 0.0000 0.0000 0.0000
Cr1 0.0000 0.0000 0.6163
Cr2 0.5000 0.5000 0.7997
Cl1 0.5000 0.5000 0.3934
```

Calculated values
E_form (uncorrected) = 0.063 eV per atom
ΔE to the lowest computed polymorph = 0.0000 eV/atom
Crystal system = tetragonal

---

No. 2
Here is a geometry-optimized Ta2SO structure from Alexandria via LeMat-Bulk. Energies are from PBEsol.

CIF file:
```
data_Ta2SO
_chemical_formula_sum 'Ta8 S4 O4'
_cell_length_a 4.4125
_cell_length_b 4.4125
_cell_length_c 12.8634
_cell_angle_alpha 90.00
_cell_angle_beta 90.00
_cell_angle_gamma 90.00
_symmetry_space_group_name_H-M 'I -4 2 d'
_symmetry_Int_Tables_number 122
_symmetry_space_group_name_Hall 'I -4 2bw'
loop_
_atom_site_label
_atom_site_fract_x
_atom_site_fract_y
_atom_site_fract_z
Ta1 0.1866 0.2500 0.1250
S1 0.0000 0.0000 0.5000
O1 0.0000 0.0000 0.0000
```

Calculated values
E_form (uncorrected) = -0.812 eV per atom
Crystal system = tetragonal

---

No. 3
Here is a geometry-optimized Ar structure from Alexandria via LeMat-Bulk. Energies are from PBEsol.

CIF file:
```
data_Ar
_chemical_formula_sum 'Ar4'
_cell_length_a 5.4367
_cell_length_b 5.4367
_cell_length_c 5.4367
_cell_angle_alpha 90.00
_cell_angle_beta 90.00
_cell_angle_gamma 90.00
_symmetry_space_group_name_H-M 'F m -3 m'
_symmetry_Int_Tables_number 225
_symmetry_space_group_name_Hall '-F 4 2 3'
loop_
_atom_site_label
_atom_site_fract_x
_atom_site_fract_y
_atom_site_fract_z
Ar1 0.0000 0.0000 0.0000
```

Calculated values
Energy of formation from the pure elements = 0.000 eV/atom
Crystal system = cubic

---

No. 4
Here is a geometry-optimized YGa4Pd structure from Alexandria via LeMat-Bulk. Energies are from PBEsol.

CIF file:
```
data_YGa4Pd
_chemical_formula_sum 'Y4 Ga16 Pd4'
_cell_length_a 4.1966
_cell_length_b 15.3034
_cell_length_c 6.5816
_cell_angle_alpha 90.00
_cell_angle_beta 90.00
_cell_angle_gamma 90.00
_symmetry_space_group_name_H-M 'C m c m'
_symmetry_Int_Tables_number 63
_symmetry_space_group_name_Hall '-C 2c 2'
loop_
_atom_site_label
_atom_site_fract_x
_atom_site_fract_y
_atom_site_fract_z
Y1 0.0000 0.1220 0.2500
Ga1 0.0000 0.0625 0.7500
Ga2 0.0000 0.3231 0.0503
Ga3 0.0000 0.5000 0.0000
Pd1 0.0000 0.2222 0.7500
```

Calculated values
Energy of formation from the pure elements = -0.639 eV/atom
Crystal system = orthorhombic

---

No. 5
Here is a geometry-optimized La2YAl structure from Alexandria via LeMat-Bulk. Energies are from PBEsol.

CIF file:
```
data_La2YAl
_chemical_formula_sum 'La2 Y1 Al1'
_cell_length_a 3.5998
_cell_length_b 3.5998
_cell_length_c 8.8502
_cell_angle_alpha 90.00
_cell_angle_beta 90.00
_cell_angle_gamma 90.00
_symmetry_space_group_name_H-M 'P 4 m m'
_symmetry_Int_Tables_number 99
loop_
_symmetry_equiv_pos_as_xyz
'x,y,z'
'-y,x,z'
'-x,-y,z'
'y,-x,z'
'-x,y,z'
'y,x,z'
'x,-y,z'
'-y,-x,z'
loop_
_atom_site_label
_atom_site_fract_x
_atom_site_fract_y
_atom_site_fract_z
La1 0.0000 0.0000 0.0000
La2 0.5000 0.5000 0.2898
Y1 0.0000 0.0000 0.5748
Al1 0.5000 0.5000 0.7728
```

Calculated values
Energy of formation from the pure elements = -0.174 eV/atom
Crystal system = tetragonal

---

No. 6
Here is a geometry-optimized TaCuAu structure from Alexandria via LeMat-Bulk. Energies are from PBEsol.

CIF file:
```
data_TaCuAu
_chemical_formula_sum 'Ta1 Cu1 Au1'
_cell_length_a 4.4082
_cell_length_b 4.4082
_cell_length_c 2.6896
_cell_angle_alpha 90.00
_cell_angle_beta 90.00
_cell_angle_gamma 120.00
_symmetry_space_group_name_H-M 'P -6 m 2'
_symmetry_Int_Tables_number 187
_symmetry_space_group_name_Hall 'P -6 2'
loop_
_atom_site_label
_atom_site_fract_x
_atom_site_fract_y
_atom_site_fract_z
Ta1 0.0000 0.0000 0.0000
Cu1 0.6667 0.3333 0.5000
Au1 0.3333 0.6667 0.5000
```

Calculated values
Energy of formation from the pure elements = -0.064 eV/atom
Crystal system = hexagonal

---

No. 7
Here is a geometry-optimized Al2ReNi structure from Alexandria via LeMat-Bulk. Energies are from PBEsol.

CIF file:
```
data_Al2ReNi
_chemical_formula_sum 'Al2 Re1 Ni1'
_cell_length_a 2.7695
_cell_length_b 3.1972
_cell_length_c 5.8626
_cell_angle_alpha 90.00
_cell_angle_beta 90.00
_cell_angle_gamma 90.00
_symmetry_space_group_name_H-M 'P m m m'
_symmetry_Int_Tables_number 47
loop_
_symmetry_equiv_pos_as_xyz
'x,y,z'
'-x,-y,-z'
'-x,-y,z'
'x,y,-z'
'x,-y,-z'
'-x,y,z'
'-x,y,-z'
'x,-y,z'
loop_
_atom_site_label
_atom_site_fract_x
_atom_site_fract_y
_atom_site_fract_z
Al1 0.0000 0.0000 0.2340
Re1 0.5000 0.5000 0.5000
Ni1 0.5000 0.5000 0.0000
```

Calculated values
ΔE to the lowest computed polymorph = 0.0265 eV/atom
Energy of formation from the pure elements = -0.333 eV/atom
Crystal system = orthorhombic

---

No. 8
Here is a geometry-optimized CsCSN structure from Alexandria via LeMat-Bulk. Energies are from PBEsol.

CIF file:
```
data_CsCSN
_chemical_formula_sum 'Cs4 C4 S4 N4'
_cell_length_a 7.9027
_cell_length_b 6.2435
_cell_length_c 8.2747
_cell_angle_alpha 90.00
_cell_angle_beta 90.00
_cell_angle_gamma 90.00
_symmetry_space_group_name_H-M 'P n m a'
_symmetry_Int_Tables_number 62
loop_
_symmetry_equiv_pos_as_xyz
'x,y,z'
'-x,-y,-z'
'-x+1/2,-y,z+1/2'
'x+1/2,y,-z+1/2'
'x+1/2,-y+1/2,-z+1/2'
'-x+1/2,y+1/2,z+1/2'
'-x,y+1/2,-z'
'x,-y+1/2,z'
loop_
_atom_site_label
_atom_site_fract_x
_atom_site_fract_y
_atom_site_fract_z
Cs1 0.1792 0.2500 0.1076
C1 0.1747 0.2500 0.5617
S1 0.0192 0.2500 0.6907
N1 0.2090 0.7500 0.9701
```

Calculated values
E_form (uncorrected) = -0.456 eV per atom
Crystal system = orthorhombic

---

No. 9
Here is a geometry-optimized BeGaFe3 structure from Alexandria via LeMat-Bulk. Energies are from PBEsol.

CIF file:
```
data_BeGaFe3
_chemical_formula_sum 'Be1 Ga1 Fe3'
_cell_length_a 3.8495
_cell_length_b 3.8495
_cell_length_c 3.8495
_cell_angle_alpha 90.00
_cell_angle_beta 90.00
_cell_angle_gamma 90.00
_symmetry_space_group_name_H-M 'P m -3 m'
_symmetry_Int_Tables_number 221
_symmetry_space_group_name_Hall '-P 4 2 3'
loop_
_atom_site_label
_atom_site_fract_x
_atom_site_fract_y
_atom_site_fract_z
Be1 0.0000 0.0000 0.0000
Ga1 0.5000 0.5000 0.5000
Fe1 0.0000 0.0000 0.5000
```

Calculated values
Energy of formation from the pure elements = 0.412 eV/atom
Crystal system = cubic

---

No. 10
Here is a geometry-optimized LiP2Rh structure from Alexandria via LeMat-Bulk. Energies are from PBEsol.

CIF file:
```
data_LiP2Rh
_chemical_formula_sum 'Li4 P8 Rh4'
_cell_length_a 5.8905
_cell_length_b 5.8905
_cell_length_c 9.1296
_cell_angle_alpha 90.00
_cell_angle_beta 90.00
_cell_angle_gamma 90.00
_symmetry_space_group_name_H-M 'I -4 2 d'
_symmetry_Int_Tables_number 122
_symmetry_space_group_name_Hall 'I -4 2bw'
loop_
_atom_site_label
_atom_site_fract_x
_atom_site_fract_y
_atom_site_fract_z
Li1 0.0000 0.0000 0.0000
P1 0.2000 0.2500 0.6250
Rh1 0.0000 0.0000 0.5000
```

Calculated values
ΔE to the lowest computed polymorph = 0.3393 eV/atom
Energy of formation from the pure elements = -0.117 eV/atom
Crystal system = tetragonal

---

No. 11
Here is a geometry-optimized CoTcRu structure from Alexandria via LeMat-Bulk. Energies are from PBEsol.

CIF file:
```
data_CoTcRu
_chemical_formula_sum 'Co2 Tc2 Ru2'
_cell_length_a 2.6178
_cell_length_b 3.6773
_cell_length_c 7.7818
_cell_angle_alpha 90.00
_cell_angle_beta 90.00
_cell_angle_gamma 90.00
_symmetry_space_group_name_H-M 'I m m 2'
_symmetry_Int_Tables_number 44
loop_
_symmetry_equiv_pos_as_xyz
'x,y,z'
'-x,-y,z'
'-x,y,z'
'x,-y,z'
'x+1/2,y+1/2,z+1/2'
'-x+1/2,-y+1/2,z+1/2'
'-x+1/2,y+1/2,z+1/2'
'x+1/2,-y+1/2,z+1/2'
loop_
_atom_site_label
_atom_site_fract_x
_atom_site_fract_y
_atom_site_fract_z
Co1 0.0000 0.0000 0.0000
Tc1 0.0000 0.0000 0.3358
Ru1 0.0000 0.0000 0.6633
```

Calculated values
ΔE to the lowest computed polymorph = 0.0000 eV/atom
Energy of formation from the pure elements = 0.071 eV/atom
Crystal system = orthorhombic

---

No. 12
Here is a geometry-optimized LiCdSe2 structure from Alexandria via LeMat-Bulk. Energies are from PBEsol.

CIF file:
```
data_LiCdSe2
_chemical_formula_sum 'Li1 Cd1 Se2'
_cell_length_a 3.0380
_cell_length_b 3.7605
_cell_length_c 7.2239
_cell_angle_alpha 90.00
_cell_angle_beta 92.52
_cell_angle_gamma 90.00
_symmetry_space_group_name_H-M 'P 1 2/m 1'
_symmetry_Int_Tables_number 10
loop_
_symmetry_equiv_pos_as_xyz
'x,y,z'
'-x,-y,-z'
'-x,y,-z'
'x,-y,z'
loop_
_atom_site_label
_atom_site_fract_x
_atom_site_fract_y
_atom_site_fract_z
Li1 0.0000 0.0000 0.0000
Cd1 0.5000 0.0000 0.5000
Se1 0.2937 0.5000 0.7579
```

Calculated values
E_form (uncorrected) = -0.464 eV per atom
Crystal system = monoclinic

---

Number 1: calculated volume 15.55 Å³/atom. Number 2: calculated volume 15.65 Å³/atom. Number 3: calculated volume 40.17 Å³/atom. Number 4: calculated volume 17.61 Å³/atom. Number 5: calculated volume 28.67 Å³/atom. Number 6: calculated volume 15.09 Å³/atom. Number 7: calculated volume 12.98 Å³/atom. Number 8: calculated volume 25.52 Å³/atom. Number 9: calculated volume 11.41 Å³/atom. Number 10: calculated volume 19.80 Å³/atom. Number 11: calculated volume 12.49 Å³/atom. Number 12: calculated volume 20.61 Å³/atom.